a.
# AlSi2Ni8 (GGA-PBE, relaxed)
# Calculated volume (Å³/atom): 11.4
# Fermi-level density of states (states/eV/atom): 0.589
data_AlSi2Ni8
_cell_length_a 3.685
_cell_length_b 6.301
_cell_length_c 10.778
_cell_angle_alpha 90.00
_cell_angle_beta 90.00
_cell_angle_gamma 90.00
_symmetry_space_group_name_H-M 'I m m m'
_symmetry_Int_Tables_number 71
_symmetry_space_group_name_Hall '-I 2 2'
loop_
_atom_site_label
_atom_site_fract_x
_atom_site_fract_y
_atom_site_fract_z
Al1 0.000 0.000 0.000
Si1 0.000 0.000 0.311
Ni1 0.000 0.198 0.500
Ni2 0.000 0.279 0.163
Ni3 0.000 0.500 0.351

---

b.
# AlSi2Ni8 (GGA-PBE, relaxed)
# Calculated volume (Å³/atom): 11.2
# Fermi-level density of states (states/eV/atom): 0.695
data_AlSi2Ni8
_cell_length_a 12.547
_cell_length_b 3.649
_cell_length_c 5.729
_cell_angle_alpha 90.00
_cell_angle_beta 110.34
_cell_angle_gamma 90.00
_symmetry_space_group_name_H-M 'C 1 2/m 1'
_symmetry_Int_Tables_number 12
loop_
_symmetry_equiv_pos_as_xyz
'x,y,z'
'-x,-y,-z'
'-x,y,-z'
'x,-y,z'
'x+1/2,y+1/2,z'
'-x+1/2,-y+1/2,-z'
'-x+1/2,y+1/2,-z'
'x+1/2,-y+1/2,z'
loop_
_atom_site_label
_atom_site_fract_x
_atom_site_fract_y
_atom_site_fract_z
Al1 0.000 0.000 0.000
Si1 0.211 0.500 0.668
Ni1 0.037 0.500 0.730
Ni2 0.101 0.000 0.468
Ni3 0.158 0.500 0.228
Ni4 0.177 0.000 0.926

---

Most stable: a (next structure +17 meV/atom)

---

a.
# Al3Si3Ni (GGA-PBE, relaxed)
# Calculated volume (Å³/atom): 15.0
# Fermi-level density of states (states/eV/atom): 0.383
data_Al3Si3Ni
_cell_length_a 2.837
_cell_length_b 7.245
_cell_length_c 10.242
_cell_angle_alpha 90.00
_cell_angle_beta 90.00
_cell_angle_gamma 90.00
_symmetry_space_group_name_H-M 'P m m n'
_symmetry_Int_Tables_number 59
loop_
_symmetry_equiv_pos_as_xyz
'x,y,z'
'-x,-y,-z'
'-x+1/2,-y+1/2,z'
'x+1/2,y+1/2,-z'
'x+1/2,-y,-z'
'-x+1/2,y,z'
'-x,y+1/2,-z'
'x,-y+1/2,z'
loop_
_atom_site_label
_atom_site_fract_x
_atom_site_fract_y
_atom_site_fract_z
Al1 0.250 0.057 0.129
Al2 0.250 0.250 0.658
Si1 0.250 0.052 0.402
Si2 0.250 0.250 0.907
Ni1 0.250 0.750 0.721

---

b.
# Al3Si3Ni (GGA-PBE, relaxed)
# Calculated volume (Å³/atom): 17.4
# Fermi-level density of states (states/eV/atom): 0.354
data_Al3Si3Ni
_cell_length_a 3.669
_cell_length_b 7.495
_cell_length_c 8.854
_cell_angle_alpha 90.00
_cell_angle_beta 90.00
_cell_angle_gamma 90.00
_symmetry_space_group_name_H-M 'P m m n'
_symmetry_Int_Tables_number 59
loop_
_symmetry_equiv_pos_as_xyz
'x,y,z'
'-x,-y,-z'
'-x+1/2,-y+1/2,z'
'x+1/2,y+1/2,-z'
'x+1/2,-y,-z'
'-x+1/2,y,z'
'-x,y+1/2,-z'
'x,-y+1/2,z'
loop_
_atom_site_label
_atom_site_fract_x
_atom_site_fract_y
_atom_site_fract_z
Al1 0.250 0.047 0.120
Al2 0.250 0.250 0.594
Si1 0.250 0.003 0.407
Si2 0.250 0.250 0.872
Ni1 0.250 0.750 0.984

---

Most stable: a (next structure +32 meV/atom)

---

a.
# AlSi5Ni2 (GGA-PBE, relaxed)
# Calculated volume (Å³/atom): 13.1
# Fermi-level density of states (states/eV/atom): 0.295
data_AlSi5Ni2
_cell_length_a 3.887
_cell_length_b 3.887
_cell_length_c 13.890
_cell_angle_alpha 90.00
_cell_angle_beta 90.00
_cell_angle_gamma 90.00
_symmetry_space_group_name_H-M 'I 4/m m m'
_symmetry_Int_Tables_number 139
_symmetry_space_group_name_Hall '-I 4 2'
loop_
_atom_site_label
_atom_site_fract_x
_atom_site_fract_y
_atom_site_fract_z
Al1 0.000 0.000 0.000
Si1 0.000 0.000 0.500
Si2 0.000 0.500 0.141
Ni1 0.000 0.000 0.248

---

b.
# AlSi5Ni2 (GGA-PBE, relaxed)
# Calculated volume (Å³/atom): 13.7
# Fermi-level density of states (states/eV/atom): 0.315
data_AlSi5Ni2
_cell_length_a 3.457
_cell_length_b 7.150
_cell_length_c 8.889
_cell_angle_alpha 90.00
_cell_angle_beta 90.00
_cell_angle_gamma 90.00
_symmetry_space_group_name_H-M 'I m m m'
_symmetry_Int_Tables_number 71
_symmetry_space_group_name_Hall '-I 2 2'
loop_
_atom_site_label
_atom_site_fract_x
_atom_site_fract_y
_atom_site_fract_z
Al1 0.000 0.000 0.000
Si1 0.000 0.207 0.360
Si2 0.000 0.500 0.000
Ni1 0.000 0.500 0.253

---

Most stable: b (next structure +44 meV/atom)

---

a.
# Al2NiSn2 (GGA-PBE, relaxed)
# Calculated volume (Å³/atom): 20.8
# Fermi-level density of states (states/eV/atom): 0.335
data_Al2NiSn2
_cell_length_a 6.800
_cell_length_b 6.800
_cell_length_c 4.505
_cell_angle_alpha 90.00
_cell_angle_beta 90.00
_cell_angle_gamma 90.00
_symmetry_space_group_name_H-M 'P 4/m b m'
_symmetry_Int_Tables_number 127
_symmetry_space_group_name_Hall '-P 4 2ab'
loop_
_atom_site_label
_atom_site_fract_x
_atom_site_fract_y
_atom_site_fract_z
Al1 0.150 0.350 0.000
Ni1 0.000 0.000 0.500
Sn1 0.160 0.660 0.500

---

b.
# Al2NiSn2 (GGA-PBE, relaxed)
# Calculated volume (Å³/atom): 22.9
# Fermi-level density of states (states/eV/atom): 0.549
data_Al2NiSn2
_cell_length_a 4.304
_cell_length_b 4.304
_cell_length_c 12.369
_cell_angle_alpha 90.00
_cell_angle_beta 90.00
_cell_angle_gamma 90.00
_symmetry_space_group_name_H-M 'I 4/m m m'
_symmetry_Int_Tables_number 139
_symmetry_space_group_name_Hall '-I 4 2'
loop_
_atom_site_label
_atom_site_fract_x
_atom_site_fract_y
_atom_site_fract_z
Al1 0.000 0.000 0.098
Ni1 0.000 0.000 0.500
Sn1 0.000 0.500 0.250

---

Most stable: a (next structure +402 meV/atom)

---

a.
# Ta2AlNi4 (GGA-PBE, relaxed)
# Calculated volume (Å³/atom): 15.6
# Fermi-level density of states (states/eV/atom): 1.232
data_Ta2AlNi4
_cell_length_a 4.158
_cell_length_b 4.158
_cell_length_c 12.649
_cell_angle_alpha 90.00
_cell_angle_beta 90.00
_cell_angle_gamma 90.00
_symmetry_space_group_name_H-M 'I 4/m m m'
_symmetry_Int_Tables_number 139
_symmetry_space_group_name_Hall '-I 4 2'
loop_
_atom_site_label
_atom_site_fract_x
_atom_site_fract_y
_atom_site_fract_z
Ta1 0.000 0.000 0.130
Al1 0.000 0.000 0.500
Ni1 0.000 0.000 0.316
Ni2 0.000 0.500 0.000

---

b.
# Ta2AlNi4 (GGA-PBE, relaxed)
# Calculated volume (Å³/atom): 13.8
# Fermi-level density of states (states/eV/atom): 0.828
data_Ta2AlNi4
_cell_length_a 4.640
_cell_length_b 4.641
_cell_length_c 5.050
_cell_angle_alpha 89.46
_cell_angle_beta 89.11
_cell_angle_gamma 62.79
_symmetry_space_group_name_H-M 'P -1'
_symmetry_Int_Tables_number 2
loop_
_symmetry_equiv_pos_as_xyz
'x,y,z'
'-x,-y,-z'
loop_
_atom_site_label
_atom_site_fract_x
_atom_site_fract_y
_atom_site_fract_z
Ta1 0.005 0.002 0.244
Al1 0.500 0.500 0.500
Ni1 0.000 0.500 0.500
Ni2 0.331 0.331 0.997
Ni3 0.500 0.000 0.500

---

Most stable: b (next structure +729 meV/atom)

---

a.
# Tb4AlNi (GGA-PBE, relaxed)
# Calculated volume (Å³/atom): 28.4
# Fermi-level density of states (states/eV/atom): 1.335
data_Tb4AlNi
_cell_length_a 7.028
_cell_length_b 7.130
_cell_length_c 6.830
_cell_angle_alpha 90.00
_cell_angle_beta 95.08
_cell_angle_gamma 90.00
_symmetry_space_group_name_H-M 'P 1 21/c 1'
_symmetry_Int_Tables_number 14
loop_
_symmetry_equiv_pos_as_xyz
'x,y,z'
'-x,-y,-z'
'-x,y+1/2,-z+1/2'
'x,-y+1/2,z+1/2'
loop_
_atom_site_label
_atom_site_fract_x
_atom_site_fract_y
_atom_site_fract_z
Tb1 0.156 0.173 0.191
Tb2 0.322 0.649 0.112
Al1 0.500 0.000 0.000
Ni1 0.000 0.000 0.500

---

b.
# Tb4AlNi (GGA-PBE, relaxed)
# Calculated volume (Å³/atom): 25.2
# Fermi-level density of states (states/eV/atom): 0.893
data_Tb4AlNi
_cell_length_a 13.424
_cell_length_b 13.424
_cell_length_c 13.424
_cell_angle_alpha 90.00
_cell_angle_beta 90.00
_cell_angle_gamma 90.00
_symmetry_space_group_name_H-M 'F -4 3 m'
_symmetry_Int_Tables_number 216
_symmetry_space_group_name_Hall 'F -4 2 3'
loop_
_atom_site_label
_atom_site_fract_x
_atom_site_fract_y
_atom_site_fract_z
Tb1 0.000 0.000 0.186
Tb2 0.058 0.250 0.750
Tb3 0.101 0.101 0.399
Al1 0.174 0.174 0.174
Ni1 0.107 0.107 0.607

---

Most stable: b (next structure +224 meV/atom)